VASP calculation (PBE) on a relaxed structure of DyNpHg.

POSCAR file:
```
DyNpHg
1.0
4.641 0.000 0.000
0.000 3.326 0.000
0.000 1.663 9.585
Dy Np Hg
2 2 2
Direct
0.250 0.130 0.740
0.750 0.870 0.260
0.250 0.476 0.049
0.750 0.524 0.951
0.750 0.703 0.594
0.250 0.297 0.406
```

Results
DFT total energy = -5.8999 eV per atom
Crystal system = orthorhombic
Total moment = 5.6 Bohr magnetons per cell
Calculated density = 13.5 g cm⁻³